# Hg2Mo3O10

Crystalline Hg2Mo3O10 at its relaxed geometry (PBE+U, Alexandria via LeMat-Bulk).

calculated total energy	-5.962	eV/atom
DOS at the Fermi energy	3.87	states/eV/cell
magnetization	0.5	μB/f.u.
space-group type	P1, No. 1

Cell lengths 5.9335, 9.5790, 9.9950 Å; angles 116.53, 91.16, 102.55 degrees
With the nearest neighbours (Å) after each atom.
Atoms (fractional coordinates):
Hg 0.0000 0.0000 0.0000  3 O 2.48-2.73
Hg 0.0213 0.0707 0.3798  4 O 2.19-2.37
Hg 0.1662 0.4836 0.2123  1 O 2.23
Hg 0.8053 0.5734 0.1528  1 O 2.27
Mo 0.3151 0.1988 0.7557  1 O 1.77
Mo 0.3474 0.7782 0.7047  3 O 1.72-1.91
Mo 0.4127 0.8504 0.1558  4 O 1.79-1.85
Mo 0.5772 0.2741 0.3015  4 O 1.78-1.91
Mo 0.7726 0.5418 0.7455  3 O 1.75-1.90
Mo 0.7765 0.1415 0.7626  4 O 1.83-1.94
O 0.0174 0.0990 0.6096  2 Mo 2.02-2.08, 1 Hg 2.19
O 0.0444 0.6439 0.6949  2 Mo 1.90-1.94
O 0.0702 0.2352 0.8949  2 Mo 1.94-2.01
O 0.1395 0.8329 0.2290  1 Mo 1.80
O 0.2593 0.9735 0.7833  1 Mo 1.88
O 0.2836 0.1185 0.2312  1 Mo 1.91
O 0.3311 0.7335 0.5176  1 Mo 1.72
O 0.3798 0.8381 0.9717  1 Mo 1.79
O 0.4219 0.3882 0.7598  1 Mo 1.77
O 0.4908 0.4270 0.2661  1 Mo 1.82
O 0.4994 0.6766 0.1431  1 Mo 1.80
O 0.5335 0.0913 0.6102  2 Mo 1.89-2.04
O 0.5365 0.6394 0.7012  2 Mo 1.91-1.99
O 0.6052 0.2514 0.9086  1 Mo 1.85
O 0.6416 0.0293 0.2889  1 Mo 1.85
O 0.6630 0.3715 0.5003  1 Mo 1.78
O 0.6932 0.9477 0.7651  1 Mo 1.83
O 0.8186 0.6755 0.9387  1 Mo 1.75
O 0.8266 0.2497 0.2062  1 Mo 1.78
O 0.8630 0.3756 0.7481  1 Mo 1.80